No. 1
Material: HfGa2Cu
Method: DFT, PBE
State: optimized geometry

a = 6.3944 Å, b = 6.3944 Å, c = 6.3944 Å
α = 90.00°, β = 90.00°, γ = 90.00°
Space group F-43m (No. 216)
Symmetry-distinct sites (fractional):
Hf  0.0000  0.0000  0.0000
Ga  0.0000  0.0000  0.5000
Ga  0.2500  0.2500  0.2500
Cu  0.2500  0.2500  0.7500



No. 2
Material: Sc2CuAg2
Method: DFT, PBE
State: optimized geometry

## Properties
Formation energy = 166 meV per atom

a = 3.7393 Å, b = 3.7393 Å, c = 14.0396 Å
α = 90.00°, β = 90.00°, γ = 90.00°
Space group I4/mmm (No. 139)
Symmetry-distinct sites (fractional):
Sc  0.0000  0.0000  0.0949
Cu  0.0000  0.0000  0.5000
Ag  0.0000  0.5000  0.2500



No. 3
Material: YEr2Tl2Cd4
Method: DFT, PBE
State: optimized geometry

a = 4.5755 Å, b = 13.0385 Å, c = 7.4953 Å
α = 90.00°, β = 90.00°, γ = 90.00°
Space group Amm2 (No. 38)
Symmetry-distinct sites (fractional):
Y  0.0000  0.0000  0.0000
Er  0.0000  0.2138  0.6411
Tl  0.5000  0.1676  0.9272
Cd  0.0000  0.0000  0.4301
Cd  0.5000  0.0000  0.6680
Cd  0.5000  0.1198  0.3080



No. 4
Material: DyInGa2
Method: DFT, PBE
State: optimized geometry

## Properties
Distance to the lowest polymorph of the same formula = 0.004 eV per atom

a = 4.7666 Å, b = 11.1946 Å, c = 6.4065 Å
α = 90.00°, β = 90.00°, γ = 90.00°
Space group Ama2 (No. 40)
Symmetry-distinct sites (fractional):
Dy  0.2500  0.1696  0.0000
In  0.2500  0.4202  0.2231
Ga  0.2500  0.1538  0.4818
Ga  0.2500  0.4278  0.7621



Listing E_tot for the structures above in their given order: -0.3644, -0.3115, -0.2186, -0.2772 Ry per atom.